Compound: IrRh3W
Source: the Alexandria database
Functional: GGA-PBE
Structure: relaxed

ΔE to the lowest computed polymorph: 0.0 meV/atom
energy relative to the elements: 1.16 eV per atom
magnetic moment: 0.328 μB/cell
crystal system: trigonal
ρ: 11.462 g/cm3

Lattice parameters (Å, degrees): 5.1374 5.1374 5.1374 61.55 61.55 61.55
Last column: nearest neighbours and their distance in Å.
Fractional positions:
1 Ir 0.0000 0.0000 0.0000  6 Rh 2.57
2 Rh 0.0000 0.0000 0.5000  2 Ir 2.57, 2 W 2.63, 4 Rh 2.63
3 Rh 0.0000 0.5000 0.0000  2 Ir 2.57, 4 Rh 2.63, 2 W 2.63
4 Rh 0.5000 0.0000 0.0000  2 Ir 2.57, 4 Rh 2.63, 2 W 2.63
5 W 0.5000 0.5000 0.5000  6 Rh 2.63


Compound: AlRhS2Cl
Source: the Alexandria database
Functional: GGA-PBE
Structure: relaxed

ΔE to the lowest computed polymorph: 0.0 meV/atom
magnetic moment: 0.000 μB/cell
crystal system: tetragonal
ρ: 3.661 g/cm3
energy relative to the elements, uncorrected: 0.17 eV/atom

Lattice parameters (Å, degrees): 4.6788 4.6788 4.7542 90.00 90.00 90.00
Last column: nearest neighbours and their distance in Å.
Fractional positions:
1 Al 0.0000 0.0000 0.0000  4 Cl 3.31, 8 S 3.34
2 Rh 0.5000 0.5000 0.5000  4 S 2.34, 2 Cl 2.38
3 S 0.0000 0.5000 0.5000  2 Rh 2.34
4 S 0.5000 0.0000 0.5000  2 Rh 2.34
5 Cl 0.5000 0.5000 0.0000  2 Rh 2.38


Compound: CsMgB2S
Source: the Alexandria database
Functional: GGA-PBE
Structure: relaxed

magnetic moment: 1.352 μB/cell
crystal system: tetragonal
ρ: 1.887 g/cm3
energy relative to the elements, uncorrected: 2.62 eV/atom

Lattice parameters (Å, degrees): 4.6925 4.6925 8.4289 90.00 90.00 90.00
Last column: nearest neighbours and their distance in Å.
Fractional positions:
1 Cs 0.0000 0.0000 0.0000  4 B 2.35
2 Mg 0.0000 0.0000 0.5000  4 S 3.32
3 B 0.0000 0.5000 0.0000  2 Cs 2.35
4 B 0.5000 0.0000 0.0000  2 Cs 2.35
5 S 0.5000 0.5000 0.5000  4 Mg 3.32


Copy entry 3 word for word.
Compound: CsMgB2S
Source: the Alexandria database
Functional: GGA-PBE
Structure: relaxed

magnetic moment: 1.352 μB/cell
crystal system: tetragonal
ρ: 1.887 g/cm3
energy relative to the elements, uncorrected: 2.62 eV/atom

Lattice parameters (Å, degrees): 4.6925 4.6925 8.4289 90.00 90.00 90.00
Last column: nearest neighbours and their distance in Å.
Fractional positions:
1 Cs 0.0000 0.0000 0.0000  4 B 2.35
2 Mg 0.0000 0.0000 0.5000  4 S 3.32
3 B 0.0000 0.5000 0.0000  2 Cs 2.35
4 B 0.5000 0.0000 0.0000  2 Cs 2.35
5 S 0.5000 0.5000 0.5000  4 Mg 3.32


Which formula does entry 1 have?
IrRh3W